VASP calculation (PBE with a Hubbard U) on a relaxed SrVSeO6 crystal.

Computed properties:
energy	-115.71	eV per cell
size of the total moment	2.00	μB/cell
symmetry	P-31c

Cell: 5.074 5.074 10.775 Å, 90.00 90.00 120.00°
Atoms (fractional coordinates):
Sr1 0.000 0.000 0.000
Sr2 0.000 0.000 0.500
V1 0.333 0.667 0.250
V2 0.667 0.333 0.750
Se1 0.333 0.667 0.750
Se2 0.667 0.333 0.250
O1 0.017 0.398 0.651
O2 0.017 0.619 0.849
O3 0.381 0.398 0.849
O4 0.381 0.983 0.651
O5 0.398 0.017 0.151
O6 0.398 0.381 0.349
O7 0.602 0.619 0.651
O8 0.602 0.983 0.849
O9 0.619 0.017 0.349
O10 0.619 0.602 0.151
O11 0.983 0.381 0.151
O12 0.983 0.602 0.349